A relaxed structure of Y2InCu2, computed with PBE-GGA.

Summary:
SG: I4/mmm, No. 139
Total DFT energy (no corrections) (eV for the cell shown): -24.6
Calculated formation energy (eV per atom): -0.14

Unit cell a=5.4831 b=5.4831 c=5.4609 alpha=59.87 beta=59.87 gamma=90.00
Positions (direct):
Y 0.7500 0.2500 0.5000
Y 0.2500 0.7500 0.5000
Cu 0.3542 0.3542 0.2915
Cu 0.6458 0.6458 0.7085
In 0.0000 0.0000 0.0000

=====

A relaxed structure of Y2InCu2, computed with PBE-GGA.

Summary:
SG: P4/mbm, No. 127
Total DFT energy (no corrections) (eV for the cell shown): -48.3
Calculated formation energy (eV per atom): -0.06

Unit cell a=8.2331 b=8.2331 c=3.4250 alpha=90.00 beta=90.00 gamma=90.00
Positions (direct):
Y 0.3420 0.8420 0.0000
Y 0.8420 0.6580 0.0000
Y 0.6580 0.1580 0.0000
Y 0.1580 0.3420 0.0000
Cu 0.1268 0.6268 0.5000
Cu 0.6268 0.8732 0.5000
Cu 0.8732 0.3732 0.5000
Cu 0.3732 0.1268 0.5000
In 0.0000 0.0000 0.0000
In 0.5000 0.5000 0.0000

=====

A relaxed structure of Y4InCu, computed with PBE-GGA.

Summary:
SG: P2_1/m, No. 11
Total DFT energy (no corrections) (eV for the cell shown): -68.3
Calculated formation energy (eV per atom): -0.24
Relative energy among the computed polymorphs (meV per atom): 0

Unit cell a=5.3648 b=7.0938 c=9.4280 alpha=90.00 beta=114.57 gamma=90.00
Positions (direct):
Y 0.5957 0.2500 0.4514
Y 0.4043 0.7500 0.5486
Y 0.6590 0.2500 0.8723
Y 0.3410 0.7500 0.1277
Y 0.9231 0.0156 0.2439
Y 0.0769 0.5156 0.7561
Y 0.9231 0.4844 0.2439
Y 0.0769 0.9844 0.7561
In 0.3106 0.2500 0.0822
In 0.6894 0.7500 0.9178
Cu 0.1832 0.2500 0.5512
Cu 0.8168 0.7500 0.4488

=====

A relaxed structure of YIn7Cu5, computed with PBE-GGA.

Summary:
SG: Imm2, No. 44
Total DFT energy (no corrections) (eV for the cell shown): -47.2
Calculated formation energy (eV per atom): -0.08

Unit cell a=7.2585 b=7.2585 c=7.2585 alpha=134.69 beta=98.14 gamma=98.92
Positions (direct):
Y 0.9997 0.9997 0.0000
In 0.6537 0.6537 0.0000
In 0.3361 0.3361 0.0000
In 0.3244 0.9870 0.3374
In 0.6496 0.9870 0.6626
In 0.7689 0.2689 0.5000
In 0.8247 0.5143 0.3104
In 0.2038 0.5143 0.6896
Cu 0.4947 0.4928 0.4867
Cu 0.4947 0.0080 0.0018
Cu 0.0062 0.4928 0.9982
Cu 0.0062 0.0080 0.5133
Cu 0.2373 0.7373 0.5000

=====

A relaxed structure of Y2Zn12InCu3, computed with PBE-GGA.

Summary:
SG: R-3m, No. 166
Total DFT energy (no corrections) (eV for the cell shown): -39.1
Calculated formation energy (eV per atom): 0.23

Unit cell a=8.1988 b=8.1988 c=8.1988 alpha=60.84 beta=60.84 gamma=60.84
Positions (direct):
Y 0.5905 0.5905 0.5905
Y 0.4095 0.4095 0.4095
Zn 0.3312 0.3312 0.8562
Zn 0.8315 0.8315 0.4893
Zn 0.4893 0.8315 0.8315
Zn 0.8562 0.3312 0.3312
Zn 0.8315 0.4893 0.8315
Zn 0.3312 0.8562 0.3312
Zn 0.6688 0.6688 0.1438
Zn 0.1685 0.1685 0.5107
Zn 0.5107 0.1685 0.1685
Zn 0.1438 0.6688 0.6688
Zn 0.1685 0.5107 0.1685
Zn 0.6688 0.1438 0.6688
In 0.0000 0.0000 0.0000
Cu 0.5000 0.0000 0.0000
Cu 0.0000 0.5000 0.0000
Cu 0.0000 0.0000 0.5000

=====

A relaxed structure of Y2Zn3InCu12, computed with PBE-GGA.

Summary:
SG: R-3m, No. 166
Total DFT energy (no corrections) (eV for the cell shown): -67.6
Calculated formation energy (eV per atom): 0.06

Unit cell a=6.5749 b=6.5749 c=6.5749 alpha=85.45 beta=85.45 gamma=85.45
Positions (direct):
Y 0.7067 0.7067 0.7067
Y 0.2933 0.2933 0.2933
Zn 0.5000 0.0000 0.0000
Zn 0.0000 0.5000 0.0000
Zn 0.0000 0.0000 0.5000
In 0.0000 0.0000 0.0000
Cu 0.4162 0.4162 0.8648
Cu 0.7981 0.7981 0.2890
Cu 0.2890 0.7981 0.7981
Cu 0.8648 0.4162 0.4162
Cu 0.7981 0.2890 0.7981
Cu 0.4162 0.8648 0.4162
Cu 0.5838 0.5838 0.1352
Cu 0.2019 0.2019 0.7110
Cu 0.7110 0.2019 0.2019
Cu 0.1352 0.5838 0.5838
Cu 0.2019 0.7110 0.2019
Cu 0.5838 0.1352 0.5838

=====

A relaxed structure of YZrInCu, computed with PBE-GGA.

Summary:
SG: F-43m, No. 216
Total DFT energy (no corrections) (eV for the cell shown): -22.5
Calculated formation energy (eV per atom): -0.17

Unit cell a=5.0060 b=5.0060 c=5.0060 alpha=60.00 beta=60.00 gamma=60.00
Positions (direct):
Y 0.7500 0.7500 0.7500
Cu 0.5000 0.5000 0.5000
Zr 0.2500 0.2500 0.2500
In 0.0000 0.0000 0.0000

=====

A relaxed structure of Yb2InCu2, computed with PBE-GGA.

Summary:
SG: P4/mbm, No. 127
Total DFT energy (no corrections) (eV for the cell shown): -31.3
Calculated formation energy (eV per atom): -0.34

Unit cell a=7.5180 b=7.5180 c=3.8863 alpha=90.00 beta=90.00 gamma=90.00
Positions (direct):
Yb 0.6784 0.1784 0.5000
Yb 0.1784 0.3216 0.5000
Yb 0.8216 0.6784 0.5000
Yb 0.3216 0.8216 0.5000
In 0.0000 0.0000 0.0000
In 0.5000 0.5000 0.0000
Cu 0.1167 0.6167 0.0000
Cu 0.6167 0.8833 0.0000
Cu 0.3833 0.1167 0.0000
Cu 0.8833 0.3833 0.0000